# 1
Cd2AgRh PBE optimized geometry; VASP energy = -3.00 eV/atom; DOS at the Fermi energy = 1.88 states/eV per cell; calculated formation energy = 0.006 eV per atom; magnetic moment = 0.000 μB/atom; ΔE to the lowest computed polymorph = 114 meV/atom
1.0
-1.816 -2.327 -0.678
1.264 -1.977 3.396
-4.299 2.470 3.038
Rh Cd Ag
1 2 1
direct
0.000 0.000 0.489 Rh
0.500 0.500 0.277 Cd
0.000 0.000 0.985 Cd
0.500 0.500 0.749 Ag

# 2
Cu2AsRh2 PBE optimized geometry; VASP energy = -5.32 eV/atom; DOS at the Fermi energy = 12.02 states/eV per cell; calculated formation energy = 0.189 eV per atom; magnetic moment = 0.000 μB/atom; ΔE to the lowest computed polymorph = 224 meV/atom
1.0
6.178 0.000 0.000
0.000 6.178 0.000
0.000 0.000 3.719
As Rh Cu
2 4 4
direct
0.500 0.500 0.000 As
0.000 0.000 0.000 As
0.664 0.836 0.500 Rh
0.336 0.164 0.500 Rh
0.164 0.664 0.500 Rh
0.836 0.336 0.500 Rh
0.865 0.635 0.000 Cu
0.635 0.135 0.000 Cu
0.365 0.865 0.000 Cu
0.135 0.365 0.000 Cu